Density functional theory data (PBE) for an optimized crystal structure of MgP2Pb.

Cell: 3.9564 3.9564 19.1527 Å, 90.00 90.00 120.00°
Space group R-3m (No. 166, hexagonal axes)
One atom of each set of equivalent atoms:
Mg 0.0000 0.0000 0.0000
P 0.0000 0.0000 0.2588
Pb 0.0000 0.0000 0.5000

Its electronic total energy is -48.3 eV for the cell shown. The calculation puts the volume at 21.636 A^3/atom. As for the spin magnetization: 0.00 μB/cell. The value obtained for the density of states at the Fermi level is 9.5 states/eV per cell.



Density functional theory data (PBE) for an optimized crystal structure of Mg14CoSb.

Cell: 6.3014 6.3014 10.0305 Å, 90.00 90.00 120.00°
Space group P-6m2 (No. 187)
One atom of each set of equivalent atoms:
Mg 0.0000 0.0000 0.2459
Mg 0.0105 0.5053 0.2661
Mg 0.3278 0.1639 0.5000
Mg 0.3370 0.1685 0.0000
Co 0.3333 0.6667 0.5000
Sb 0.3333 0.6667 0.0000

Its electronic total energy is -33.2 eV for the cell shown. The calculation puts the volume at 21.558 A^3/atom. As for the spin magnetization: 0.44 μB/cell. The value obtained for the density of states at the Fermi level is 8.9 states/eV per cell. The calculation puts the distance to the lowest polymorph of the same formula at 0.000 eV/atom. Its formation energy without anion corrections is 0.5 kcal/mol of atoms.



Density functional theory data (PBE) for an optimized crystal structure of Nd2GaCu.

Cell: 5.164 3.639 10.308 Å, 90.00 90.00 90.00°
Space group Pmma (No. 51)
One atom of each set of equivalent atoms:
Nd 0.250 0.000 0.118
Nd 0.250 0.000 0.622
Ga 0.250 0.500 0.363
Cu 0.250 0.500 0.858

Its electronic total energy is -36.0 eV for the cell shown. The calculation puts the volume at 24.208 A^3/atom. As for the spin magnetization: 0.00 μB/cell. The value obtained for the density of states at the Fermi level is 5.9 states/eV per cell.



Density functional theory data (PBE) for an optimized crystal structure of Tl2CdBi.

Cell: 3.495 3.495 9.953 Å, 90.00 90.00 90.00°
Space group P4/mmm (No. 123)
One atom of each set of equivalent atoms:
Tl 0.000 0.000 0.246
Cd 0.500 0.500 0.000
Bi 0.500 0.500 0.500

Its electronic total energy is -9.5 eV for the cell shown. The calculation puts the volume at 30.393 A^3/atom. As for the spin magnetization: 0.00 μB/cell. The value obtained for the density of states at the Fermi level is 1.0 states/eV per cell. The calculation puts the distance to the lowest polymorph of the same formula at 0.006 eV/atom.



Q: spin magnetization of number 4 (Tl2CdBi)?
A: 0.00 μB/cell